[1]
Computed, not measured: a relaxed Pb3ICl crystal at the GGA-PBEsol level of DFT.

Lattice parameters (Å, degrees): 5.9387 5.9387 5.9387 90.00 90.00 90.00
With the nearest neighbours (Å) after each atom.
Element x y z (fractional)
Pb  0.5000  0.0000  0.0000  2 I 2.97
Pb  0.0000  0.0000  0.5000  2 I 2.97
Pb  0.0000  0.5000  0.0000  2 I 2.97
Cl  0.5000  0.5000  0.5000  12 Pb 4.20
I  0.0000  0.0000  0.0000  6 Pb 2.97

[2]
Computed, not measured: a relaxed K2TeRuRh crystal at the GGA-PBEsol level of DFT.

Lattice parameters (Å, degrees): 4.8810 5.7458 5.7458 90.00 90.00 90.00
With the nearest neighbours (Å) after each atom.
Element x y z (fractional)
K  0.0000  0.0000  0.5000  2 Ru 2.87
K  0.0000  0.5000  0.0000  2 Ru 2.87
Te  0.5000  0.0000  0.0000  2 Ru 2.44
Ru  0.0000  0.0000  0.0000  2 Te 2.44
Rh  0.5000  0.5000  0.5000  8 K 3.77, 4 Te 4.06

[3]
Computed, not measured: a relaxed SbAu crystal at the GGA-PBEsol level of DFT.

Lattice parameters (Å, degrees): 4.0873 4.0873 6.7503 72.38 72.38 60.00
With the nearest neighbours (Å) after each atom.
Element x y z (fractional)
Sb  0.1089  0.1089  0.6733  3 Au 2.72
Sb  0.8911  0.8911  0.3267  3 Au 2.72
Au  0.6291  0.6291  0.1127  3 Sb 2.72, 3 Au 2.76
Au  0.3709  0.3709  0.8873  3 Sb 2.72, 3 Au 2.76

Number 1: formation energy without anion corrections 271 kJ/mol of formula units. Number 2: formation energy without anion corrections 592 kJ/mol of formula units. Number 3: formation energy without anion corrections -8 kJ/mol of formula units.